Here is a relaxed BaTl2Ni2 crystal from Alexandria via LeMat-Bulk. Energies are from PBE.

Cell lengths 4.6491, 4.6491, 6.4623 Å; angles 68.92, 68.92, 90.00 degrees
With the nearest neighbours (Å) after each atom.
Sites, in units of the cell vectors:
Ba  0.0000  0.0000  0.0000  8 Ni 3.49, 8 Tl 3.63
Tl  0.7500  0.2500  0.5000  4 Ni 2.82
Tl  0.2500  0.7500  0.5000  4 Ni 2.82
Ni  0.6064  0.6064  0.7872  1 Ni 2.37
Ni  0.3936  0.3936  0.2128  1 Ni 2.37

Computed properties:
* crystal system: tetragonal
* symmetry: I4/mmm
* energy: -18.2 eV for the cell shown
* M_tot: 0.00 μB/f.u.
* E above lowest polymorph: 16.0 meV/atom
* energy of formation: 0.013 eV per atom


Here is a relaxed Ba2TlNi crystal from Alexandria via LeMat-Bulk. Energies are from PBE.

Cell lengths 3.8542, 3.8542, 9.5013 Å; angles 90.00, 90.00, 90.06 degrees
With the nearest neighbours (Å) after each atom.
Sites, in units of the cell vectors:
Tl  0.5000  0.5000  0.6795  4 Ni 2.93, 1 Ba 3.27
Ba  0.0000  0.0000  0.9180  1 Ni 3.34, 4 Tl 3.54-3.55
Ba  0.5000  0.5000  0.3354  1 Tl 3.27, 4 Ni 3.50
Ni  0.0000  0.0000  0.5670  4 Tl 2.93

Computed properties:
* crystal system: tetragonal
* symmetry: P4mm
* energy: -11.7 eV for the cell shown
* M_tot: 0.00 μB/f.u.
* energy of formation: 0.074 eV per atom


Here is a relaxed BaTlNi crystal from Alexandria via LeMat-Bulk. Energies are from PBE.

Cell lengths 5.0459, 5.0459, 5.0459 Å; angles 60.00, 60.00, 60.00 degrees
With the nearest neighbours (Å) after each atom.
Sites, in units of the cell vectors:
Tl  0.0000  0.0000  0.0000  4 Ni 3.09
Ba  0.5000  0.5000  0.5000  4 Ni 3.09
Ni  0.7500  0.7500  0.7500  4 Tl 3.09, 4 Ba 3.09

Computed properties:
* crystal system: cubic
* symmetry: F-43m
* energy: -9.9 eV for the cell shown
* M_tot: 0.00 μB/f.u.
* E above lowest polymorph: 133.2 meV/atom
* energy of formation: 0.073 eV per atom


Here is a relaxed BaTl2Ni crystal from Alexandria via LeMat-Bulk. Energies are from PBE.

Cell lengths 5.4225, 5.4225, 5.4225 Å; angles 120.04, 120.04, 89.93 degrees
With the nearest neighbours (Å) after each atom.
Sites, in units of the cell vectors:
Tl  0.2500  0.7500  0.5000  4 Ba 3.32, 4 Tl 3.32
Tl  0.0000  0.0000  0.0000  4 Tl 3.32, 4 Ni 3.32
Ni  0.7500  0.2500  0.5000  4 Tl 3.32, 4 Ba 3.32
Ba  0.5000  0.5000  0.0000  4 Ni 3.32, 4 Tl 3.32

Computed properties:
* crystal system: cubic
* symmetry: F-43m
* energy: -11.9 eV for the cell shown
* M_tot: 0.00 μB/f.u.
* energy of formation: 0.140 eV per atom


Here is a relaxed Ba3TlNi crystal from Alexandria via LeMat-Bulk. Energies are from PBE.

Cell lengths 5.9925, 5.9925, 5.9925 Å; angles 90.00, 90.00, 90.00 degrees
With the nearest neighbours (Å) after each atom.
Sites, in units of the cell vectors:
Ba  0.0000  0.0000  0.5000  2 Ni 3.00
Ba  0.0000  0.5000  0.0000  2 Ni 3.00
Ba  0.5000  0.0000  0.0000  2 Ni 3.00
Ni  0.0000  0.0000  0.0000  6 Ba 3.00
Tl  0.5000  0.5000  0.5000  12 Ba 4.24

Computed properties:
* crystal system: cubic
* symmetry: Pm-3m
* energy: -14.1 eV for the cell shown
* M_tot: 0.18 μB/f.u.
* E above lowest polymorph: 100.6 meV/atom
* energy of formation: -0.044 eV per atom


Here is a relaxed BaTl2Ni crystal from Alexandria via LeMat-Bulk. Energies are from PBE.

Cell lengths 7.0133, 7.0133, 4.2406 Å; angles 72.70, 72.70, 126.62 degrees
With the nearest neighbours (Å) after each atom.
Sites, in units of the cell vectors:
Tl  0.0000  0.0000  0.0000  4 Tl 3.15-3.20, 2 Ba 3.52, 2 Ni 3.52
Tl  0.5000  0.5000  0.0000  4 Tl 3.15-3.20, 2 Ni 3.52, 2 Ba 3.52
Ni  0.0000  0.5000  0.5000  4 Ba 3.15-3.20, 4 Tl 3.52
Ba  0.5000  0.0000  0.5000  4 Ni 3.15-3.20, 4 Tl 3.52

Computed properties:
* crystal system: monoclinic
* symmetry: C2/m
* energy: -11.4 eV for the cell shown
* M_tot: 0.00 μB/f.u.
* energy of formation: 0.269 eV per atom


Here is a relaxed Ba2TlNi crystal from Alexandria via LeMat-Bulk. Energies are from PBE.

Cell lengths 6.2556, 6.2556, 6.2556 Å; angles 132.96, 132.96, 68.72 degrees
With the nearest neighbours (Å) after each atom.
Sites, in units of the cell vectors:
Ni  0.5000  0.5000  0.0000  8 Ba 3.53-3.59, 4 Tl 3.59
Tl  0.7500  0.2500  0.5000  8 Ba 3.53-3.59, 4 Ni 3.59
Ba  0.2500  0.7500  0.5000  4 Tl 3.53, 4 Ba 3.59, 4 Ni 3.59
Ba  0.0000  0.0000  0.0000  4 Ni 3.53, 4 Tl 3.59, 4 Ba 3.59

Computed properties:
* crystal system: tetragonal
* symmetry: I-4m2
* energy: -11.3 eV for the cell shown
* M_tot: 0.00 μB/f.u.
* energy of formation: 0.166 eV per atom


Here is a relaxed BaTl2Ni2 crystal from Alexandria via LeMat-Bulk. Energies are from PBE.

Cell lengths 7.8706, 7.8706, 3.8754 Å; angles 90.00, 90.00, 90.00 degrees
With the nearest neighbours (Å) after each atom.
Sites, in units of the cell vectors:
Ni  0.1084  0.3916  0.0000  1 Ni 2.41
Ni  0.3916  0.8916  0.0000  1 Ni 2.41
Ni  0.6084  0.1084  0.0000  1 Ni 2.41
Ni  0.8916  0.6084  0.0000  1 Ni 2.41
Ba  0.0000  0.0000  0.0000  4 Ni 3.20, 8 Tl 3.57
Ba  0.5000  0.5000  0.0000  4 Ni 3.20, 8 Tl 3.57
Tl  0.3509  0.1491  0.5000  4 Ni 2.82
Tl  0.8509  0.3509  0.5000  4 Ni 2.82
Tl  0.1491  0.6491  0.5000  4 Ni 2.82
Tl  0.6491  0.8509  0.5000  4 Ni 2.82

Computed properties:
* crystal system: tetragonal
* symmetry: P4/mbm
* energy: -34.6 eV for the cell shown
* M_tot: 0.00 μB/f.u.
* E above lowest polymorph: 184.4 meV/atom
* energy of formation: 0.182 eV per atom


Here is a relaxed Ba2TlNi crystal from Alexandria via LeMat-Bulk. Energies are from PBE.

Cell lengths 4.4065, 4.4065, 9.4481 Å; angles 76.68, 76.68, 59.65 degrees
With the nearest neighbours (Å) after each atom.
Sites, in units of the cell vectors:
Ni  0.7500  0.7500  0.7500  6 Ba 3.11-3.12
Tl  0.2500  0.2500  0.2500  6 Ba 3.74-3.75
Ba  0.4824  0.4824  0.5522  3 Ni 3.11-3.12
Ba  0.0176  0.0176  0.9478  3 Ni 3.11-3.12

Computed properties:
* crystal system: monoclinic
* symmetry: C2/m
* energy: -12.0 eV for the cell shown
* M_tot: 0.00 μB/f.u.
* energy of formation: 0.005 eV per atom


Here is a relaxed Ba2TlNi2 crystal from Alexandria via LeMat-Bulk. Energies are from PBE.

Cell lengths 9.0059, 9.0059, 3.6372 Å; angles 90.00, 90.00, 90.00 degrees
With the nearest neighbours (Å) after each atom.
Sites, in units of the cell vectors:
Ba  0.3552  0.8552  0.0000  6 Ni 3.12-3.26, 2 Tl 3.45
Ba  0.6448  0.1448  0.0000  6 Ni 3.12-3.26, 2 Tl 3.45
Ba  0.8552  0.6448  0.0000  6 Ni 3.12-3.26, 2 Tl 3.45
Ba  0.1448  0.3552  0.0000  6 Ni 3.12-3.26, 2 Tl 3.45
Tl  0.5000  0.5000  0.0000  4 Ba 3.45, 2 Tl 3.64, 8 Ni 3.86
Tl  0.0000  0.0000  0.0000  4 Ba 3.45, 2 Tl 3.64, 8 Ni 3.86
Ni  0.6557  0.8443  0.5000  6 Ba 3.12-3.26
Ni  0.3443  0.1557  0.5000  6 Ba 3.12-3.26
Ni  0.8443  0.3443  0.5000  6 Ba 3.12-3.26
Ni  0.1557  0.6557  0.5000  6 Ba 3.12-3.26

Computed properties:
* crystal system: tetragonal
* symmetry: P4/mbm
* energy: -32.0 eV for the cell shown
* M_tot: 0.00 μB/f.u.
* energy of formation: 0.357 eV per atom


Here is a relaxed BaTl2Ni crystal from Alexandria via LeMat-Bulk. Energies are from PBE.

Cell lengths 3.7291, 3.7284, 8.0169 Å; angles 90.00, 90.00, 90.00 degrees
With the nearest neighbours (Å) after each atom.
Sites, in units of the cell vectors:
Tl  0.0000  0.0000  0.9454  4 Ni 2.81
Tl  0.5000  0.5000  0.1996  1 Ni 3.02, 4 Tl 3.33
Ni  0.5000  0.5000  0.8231  5 Tl 2.81-3.02
Ba  0.0000  0.0000  0.5319  1 Tl 3.31, 4 Ni 3.52

Computed properties:
* crystal system: tetragonal
* symmetry: P4mm
* energy: -12.1 eV for the cell shown
* M_tot: 0.00 μB/f.u.
* energy of formation: 0.085 eV per atom


Here is a relaxed BaTlNi crystal from Alexandria via LeMat-Bulk. Energies are from PBE.

Cell lengths 5.3449, 5.3449, 5.3449 Å; angles 60.00, 60.00, 60.00 degrees
With the nearest neighbours (Å) after each atom.
Sites, in units of the cell vectors:
Tl  0.5000  0.5000  0.5000  4 Ba 3.27
Ba  0.7500  0.7500  0.7500  4 Tl 3.27, 4 Ni 3.27
Ni  0.0000  0.0000  0.0000  4 Ba 3.27

Computed properties:
* crystal system: cubic
* symmetry: F-43m
* energy: -8.2 eV for the cell shown
* M_tot: 0.00 μB/f.u.
* E above lowest polymorph: 687.4 meV/atom
* energy of formation: 0.627 eV per atom


Here is a relaxed BaTl2Ni crystal from Alexandria via LeMat-Bulk. Energies are from PBE.

Cell lengths 4.5933, 4.5958, 5.4944 Å; angles 90.00, 90.00, 90.00 degrees
With the nearest neighbours (Å) after each atom.
Sites, in units of the cell vectors:
Tl  0.5000  0.5000  0.0000  4 Tl 3.25, 4 Ni 3.58, 4 Ba 3.58
Tl  0.0000  0.0000  0.0000  4 Tl 3.25, 4 Ba 3.58, 4 Ni 3.58
Ni  0.0000  0.5000  0.5000  4 Ba 3.25, 8 Tl 3.58
Ba  0.5000  0.0000  0.5000  4 Ni 3.25, 8 Tl 3.58

Computed properties:
* crystal system: tetragonal
* symmetry: P4/mmm
* energy: -11.8 eV for the cell shown
* M_tot: 0.00 μB/f.u.
* energy of formation: 0.149 eV per atom


Here is a relaxed BaTl2Ni crystal from Alexandria via LeMat-Bulk. Energies are from PBE.

Cell lengths 4.6830, 4.6830, 6.8020 Å; angles 69.80, 69.80, 59.97 degrees
With the nearest neighbours (Å) after each atom.
Sites, in units of the cell vectors:
Tl  0.9600  0.9600  0.1199  3 Ni 2.75-2.76
Tl  0.7141  0.7141  0.8580  3 Ni 2.92, 3 Tl 3.16
Ni  0.3219  0.3219  0.0346  6 Tl 2.75-2.92
Ba  0.5040  0.5040  0.4876  1 Ni 3.41, 6 Tl 3.54-3.56

Computed properties:
* crystal system: monoclinic
* symmetry: Cm
* energy: -12.7 eV for the cell shown
* M_tot: 0.00 μB/f.u.
* energy of formation: -0.077 eV per atom